1.
LaIn5IrPt: relaxed, PBE.

Cell lengths 4.300, 8.302, 10.396 Å; angles 90.00, 90.00, 90.00 degrees
Space group Imm2 (No. 44)
One atom of each set of equivalent atoms:
La  0.000  0.000  0.000 [2 per cell]
In  0.000  0.190  0.337 [4 per cell]
In  0.000  0.194  0.644 [4 per cell]
In  0.000  0.500  0.993 [2 per cell]
Ir  0.000  0.500  0.735 [2 per cell]
Pt  0.000  0.500  0.253 [2 per cell]

2.
CoGeOsW: relaxed, PBE.

## Properties
Its energy above the most stable polymorph in this dataset is 0 meV/atom.

Cell lengths 6.091, 6.091, 6.091 Å; angles 90.00, 90.00, 90.00 degrees
Space group F-43m (No. 216)
One atom of each set of equivalent atoms:
Co  0.000  0.000  0.000 [4 per cell]
Ge  0.250  0.250  0.750 [4 per cell]
Os  0.000  0.000  0.500 [4 per cell]
W  0.250  0.250  0.250 [4 per cell]

3.
LiPtAu3O4: relaxed, PBE.

Cell lengths 5.124, 5.124, 5.124 Å; angles 90.00, 90.00, 90.00 degrees
Space group P-43m (No. 215)
One atom of each set of equivalent atoms:
Li  0.000  0.000  0.000 [1 per cell]
Pt  0.500  0.500  0.500 [1 per cell]
Au  0.000  0.500  0.500 [3 per cell]
O  0.216  0.216  0.216 [4 per cell]

| no. | electronic total energy (eV per atom) |
| --- | --- |
| 1 | -4.632 |
| 2 | -8.734 |
| 3 | -3.845 |